Nd2HoMg3In2Hg | PBE-GGA | optimized geometry

POSCAR file:
```
Nd2HoMg3In2Hg
1.0
4.689 0.000 0.000
0.000 6.546 3.842
0.000 -6.546 3.842
Nd Ho Mg In Hg
2 1 3 2 1
direct
0.000 0.209 0.791
0.000 0.791 0.209
0.000 0.372 0.372
0.500 0.026 0.026
0.500 0.550 0.789
0.500 0.789 0.550
0.500 0.128 0.455
0.500 0.455 0.128
0.000 0.780 0.780
```

Summary:
As for the space group: Amm2 (38). The magnetization is 0.007 μB per formula unit. The value obtained for the energy is -3.15 eV per atom.